Entry 1:
LiCaTc2Sn (PBE, relaxed); E_form = 0.93 eV per atom; total energy = -4.796 eV/atom
1.0
5.058 0.000 0.000
0.000 4.814 0.000
0.000 0.000 5.058
Li Tc Ca Sn
1 2 1 1
direct
0.000 0.500 0.000
0.000 0.000 0.500
0.500 0.000 0.000
0.500 0.500 0.500
0.000 0.000 0.000

---

Entry 2:
ZnFeP2 (PBE, relaxed); E_form = 0.12 eV per atom; total energy = -5.021 eV/atom
1.0
3.217 0.000 0.000
0.000 3.239 0.102
0.000 2.321 5.353
P Fe Zn
2 1 1
direct
0.000 0.455 0.540
0.000 0.045 0.960
0.500 0.750 0.750
0.500 0.250 0.250

---

Entry 3:
SrCuBi (PBE, relaxed); E_form = -0.47 eV per atom; total energy = -3.694 eV/atom
1.0
-6.140 -4.909 -3.713
3.967 -2.296 -0.634
0.014 -1.210 4.466
Sr Bi Cu
2 2 2
direct
0.323 0.358 0.238
0.823 0.107 0.489
0.490 0.941 0.822
0.990 0.691 0.072
0.657 0.524 0.906
0.157 0.774 0.656

---

Entry 4:
MoAs2Au (PBE, relaxed); E above lowest polymorph = 0.3919 eV per atom; E_form = 0.42 eV per atom; total energy = -5.427 eV/atom
1.0
0.000 3.266 3.266
3.266 0.000 3.266
3.266 3.266 0.000
Mo As Au
1 2 1
direct
0.000 0.000 0.000
0.750 0.750 0.750
0.250 0.250 0.250
0.500 0.500 0.500

---

Entry 5:
KAc2Cu (PBE, relaxed); E_form = 0.16 eV per atom; total energy = -3.193 eV/atom
1.0
4.135 0.000 0.000
2.067 3.581 0.000
2.067 1.194 12.099
K Ac Cu
1 2 1
direct
0.000 0.000 0.000
0.115 0.115 0.656
0.885 0.885 0.344
0.500 0.500 0.500

---

Entry 6:
ThPaZn2 (PBE, relaxed); E above lowest polymorph = 0.0472 eV per atom; E_form = 0.03 eV per atom; total energy = -4.833 eV/atom
1.0
5.088 0.000 0.000
2.544 4.407 0.000
2.544 1.469 4.155
Pa Zn Th
1 2 1
direct
0.000 0.000 0.000
0.750 0.750 0.750
0.250 0.250 0.250
0.500 0.500 0.500